## LuPaPdRu (PBE-GGA)

Data for a geometry-optimized LuPaPdRu structure.

ΔH_f (0 K): -2.1 eV/f.u.

a b c (Å): 6.8799 6.8799 6.8799
angles (deg): 90.00 90.00 90.00
Closest atoms and distances in Å follow each position.
Space group F-43m (No. 216)
Asymmetric unit:
Lu  0.0000  0.0000  0.0000 x4  4 Ru 2.98, 4 Pd 2.98
Pa  0.0000  0.0000  0.5000 x4  4 Pd 2.98, 4 Ru 2.98
Pd  0.2500  0.2500  0.7500 x4  4 Pa 2.98, 4 Lu 2.98
Ru  0.2500  0.2500  0.2500 x4  4 Pa 2.98, 4 Lu 2.98



## Tm8Tl2Ru (PBE-GGA)

Data for a geometry-optimized Tm8Tl2Ru structure.

ΔH_f (0 K): -2.5 eV/f.u.

a b c (Å): 17.3828 5.3300 6.9141
angles (deg): 90.00 112.21 90.00
Closest atoms and distances in Å follow each position.
Space group C2/m (No. 12)
Asymmetric unit:
Tm  0.0148  0.0000  0.2807 x4  2 Ru 3.12, 1 Tl 3.16, 5 Tm 3.25-3.38
Tm  0.0942  0.5000  0.9136 x4  1 Ru 2.71
Tm  0.1438  0.5000  0.4319 x4  1 Ru 2.71
Tm  0.1940  0.0000  0.7658 x4  3 Tl 3.08-3.38, 2 Tm 3.42
Tl  0.1814  0.0000  0.1981 x4  9 Tm 3.08-3.38
Ru  0.0000  0.5000  0.5000 x2  4 Tm 2.71



## Nb2CoMoH (PBE-GGA)

Data for a geometry-optimized Nb2CoMoH structure.

DFT total energy: -8.2276 eV per atom

a b c (Å): 4.3265 4.3265 3.5621
angles (deg): 90.00 90.00 90.00
Closest atoms and distances in Å follow each position.
Space group P4/mmm (No. 123)
Asymmetric unit:
Nb  0.0000  0.5000  0.0000 x2  2 H 2.16
Co  0.0000  0.0000  0.5000 x1  8 Nb 2.80, 4 Mo 3.06
Mo  0.5000  0.5000  0.5000 x1  2 H 1.78
H  0.5000  0.5000  0.0000 x1  2 Mo 1.78



## Hg2Sb2Br7 (PBE-GGA)

Data for a geometry-optimized Hg2Sb2Br7 structure.

Formation energy from raw total energies: -0.399 eV/atom

a b c (Å): 12.8437 8.6050 7.0891
angles (deg): 90.00 97.97 90.00
Closest atoms and distances in Å follow each position.
Space group C2/m (No. 12)
Asymmetric unit:
Hg  0.0000  0.1689  0.0000 x4  1 Hg 2.91
Sb  0.2400  0.0000  0.5385 x4  5 Br 2.67-2.97
Br  0.0000  0.0000  0.5000 x2  2 Sb 3.06
Br  0.0755  0.5000  0.2349 x4  1 Sb 2.67
Br  0.2064  0.2967  0.7352 x8  2 Sb 2.77-2.97



## NbFeCu4 (PBE-GGA)

Data for a geometry-optimized NbFeCu4 structure.

ΔH_f (0 K): 0.8 eV/f.u.

a b c (Å): 6.7822 6.7822 6.7822
angles (deg): 90.00 90.00 90.00
Closest atoms and distances in Å follow each position.
Space group F-43m (No. 216)
Asymmetric unit:
Nb  0.0000  0.0000  0.0000 x4  12 Cu 2.81, 4 Fe 2.94
Fe  0.2500  0.2500  0.7500 x4  12 Cu 2.81, 4 Nb 2.94
Cu  0.1244  0.1244  0.3756 x16  6 Cu 2.39-2.41



## Li2CeTmCl8 (PBE-GGA)

Data for a geometry-optimized Li2CeTmCl8 structure.

Formation energy from raw total energies: -2.059 eV/atom

a b c (Å): 6.3025 8.1123 6.3456
angles (deg): 90.00 93.88 90.00
Closest atoms and distances in Å follow each position.
Space group P2/m (No. 10)
Asymmetric unit:
Li  0.0000  0.2400  0.0000 x2  6 Cl 2.60-2.82
Ce  0.5000  0.5000  0.5000 x1  6 Cl 2.70-2.80
Tm  0.5000  0.0000  0.5000 x1  6 Cl 2.60-2.63
Cl  0.1924  0.5000  0.1817 x2  2 Li 2.66, 1 Ce 2.70
Cl  0.2033  0.0000  0.1950 x2  2 Li 2.60, 1 Tm 2.60
Cl  0.2995  0.2357  0.6900 x4  1 Tm 2.63, 1 Ce 2.80, 1 Li 2.82



## RhSeCl2 (PBE-GGA)

Data for a geometry-optimized RhSeCl2 structure.

Formation energy from raw total energies: 0.027 eV/atom

a b c (Å): 9.8028 9.8028 4.6793
angles (deg): 90.00 90.00 90.00
Closest atoms and distances in Å follow each position.
Space group I-42d (No. 122)
Asymmetric unit:
Rh  0.0000  0.0000  0.0000 x4  2 Se 2.34, 4 Cl 2.52
Se  0.0000  0.0000  0.5000 x4  2 Rh 2.34
Cl  0.0010  0.2500  0.1250 x8  2 Rh 2.52



## BaTa2Cr2 (PBE-GGA)

Data for a geometry-optimized BaTa2Cr2 structure.

ΔH_f (0 K): 4.0 eV/f.u.

a b c (Å): 8.2233 8.2233 3.0327
angles (deg): 90.00 90.00 90.00
Closest atoms and distances in Å follow each position.
Space group P4/mbm (No. 127)
Asymmetric unit:
Ba  0.0000  0.0000  0.0000 x2  2 Ba 3.03, 4 Ta 3.24
Ta  0.1279  0.3721  0.0000 x4  4 Cr 2.58
Cr  0.1266  0.6266  0.5000 x4  4 Ta 2.58



## UPaB12 (PBE-GGA)

Data for a geometry-optimized UPaB12 structure.

ΔH_f (0 K): -4.7 eV/f.u.

a b c (Å): 4.0670 4.0670 8.1349
angles (deg): 90.00 90.00 90.00
Closest atoms and distances in Å follow each position.
Space group P4/mmm (No. 123)
Asymmetric unit:
U  0.0000  0.0000  0.0000 x1  24 B 2.99
Pa  0.0000  0.0000  0.5000 x1  24 B 2.98-2.99
B  0.1969  0.5000  0.2501 x8  5 B 1.60-1.74
B  0.5000  0.5000  0.0985 x2  5 B 1.60-1.74
B  0.5000  0.5000  0.4015 x2  5 B 1.60-1.74



## NaLi5Pd3 (PBE-GGA)

Data for a geometry-optimized NaLi5Pd3 structure.

ΔH_f (0 K): -2.2 eV/f.u.

a b c (Å): 7.7726 7.7726 5.2711
angles (deg): 90.00 90.00 120.00
Closest atoms and distances in Å follow each position.
Space group P6_3/mcm (No. 193)
Asymmetric unit:
Na  0.0000  0.0000  0.0000 x2  2 Na 2.64, 6 Li 2.86
Li  0.0000  0.3269  0.2500 x6  5 Pd 2.45-2.67
Li  0.3333  0.6667  0.0000 x4  8 Li 2.64-2.93, 6 Pd 2.83
Pd  0.0000  0.3574  0.7500 x6  5 Li 2.45-2.67



DOS(E_F) / states/eV per cell: 24.13 19.65 4.52 8.07 23.81 8.58 12.63 9.97 9.28 4.44